Compound: SrHgIr
Source: the Alexandria database
Functional: PBE-GGA
Structure: relaxed

DOS(E_F) in states/eV per cell: 1.087
ρ in g/cm³: 10.612
Calculated formation energy in meV/atom: 365

abc: 3.5818 3.5818 6.7663
angles: 90.00 90.00 120.00
With the nearest neighbours (Å) after each atom.
Space group P3m1 (No. 156)
Unique sites:
1 Sr 0.0000 0.0000 0.0000 (multiplicity 1)  3 Ir 2.97
2 Hg 0.6667 0.3333 0.3948 (multiplicity 1)  3 Ir 2.85
3 Ir 0.3333 0.6667 0.6841 (multiplicity 1)  3 Hg 2.85, 3 Sr 2.97